! ZnAg2O4, relaxed, DFT PBE; values from VASP
&SYSTEM
  ibrav = 0, nat = 28, ntyp = 3
/
ATOMIC_SPECIES
Zn 65.41 Zn.upf
Ag 107.87 Ag.upf
O 16.00 O.upf
ATOMIC_POSITIONS crystal
Zn 0.656 0.749 0.250
Zn 0.344 0.251 0.750
Zn 0.597 0.750 0.750
Zn 0.403 0.250 0.250
Ag 0.549 0.268 0.516
Ag 0.549 0.232 0.984
Ag 0.451 0.732 0.484
Ag 0.451 0.768 0.016
Ag 0.000 0.500 0.500
Ag 0.000 0.000 0.000
Ag 0.000 0.000 0.500
Ag 0.000 0.500 0.000
O 0.878 0.312 0.595
O 0.878 0.188 0.905
O 0.122 0.688 0.405
O 0.122 0.812 0.095
O 0.253 0.261 0.412
O 0.253 0.239 0.088
O 0.747 0.739 0.588
O 0.747 0.761 0.912
O 0.588 0.526 0.328
O 0.588 0.973 0.172
O 0.274 0.992 0.609
O 0.272 0.510 0.890
O 0.412 0.474 0.672
O 0.412 0.027 0.828
O 0.726 0.008 0.391
O 0.728 0.490 0.110
CELL_PARAMETERS angstrom
2.124 -5.257 0.893
2.265 -0.120 -6.082
8.032 4.493 7.265
! VASP energy   -4.076 eV/atom
! SG   No. 2
! Formation energy without anion corrections   -0.246 eV per atom
! Magnetic moment   0.000 μB per formula unit
! ΔE to the lowest computed polymorph   0.40 eV per formula unit
! DOS(E_F)   2.11 states/eV per cell
! ρ   5.6 g cm⁻³



! Mg7SeI12, relaxed, DFT PBE; values from VASP
&SYSTEM
  ibrav = 0, nat = 20, ntyp = 3
/
ATOMIC_SPECIES
Mg 24.30 Mg.upf
Se 78.96 Se.upf
I 126.90 I.upf
ATOMIC_POSITIONS crystal
Mg 0.964 0.672 0.892
Mg 0.328 0.108 0.036
Mg 0.108 0.036 0.328
Mg 0.500 0.500 0.500
Mg 0.892 0.964 0.672
Mg 0.672 0.892 0.964
Mg 0.036 0.328 0.108
Se 0.000 0.000 0.000
I 0.924 0.308 0.784
I 0.692 0.216 0.076
I 0.447 0.154 0.382
I 0.846 0.618 0.553
I 0.216 0.076 0.692
I 0.618 0.553 0.846
I 0.382 0.447 0.154
I 0.784 0.924 0.308
I 0.154 0.382 0.447
I 0.553 0.846 0.618
I 0.308 0.784 0.924
I 0.076 0.692 0.216
CELL_PARAMETERS angstrom
9.044 -0.181 -2.744
-3.650 8.277 -2.744
-0.120 -0.181 9.450
! VASP energy   -2.669 eV/atom
! SG   No. 148
! Formation energy without anion corrections   -1.007 eV per atom
! Magnetic moment   0.000 μB per formula unit
! DOS(E_F)   0.00 states/eV per cell
! ρ   4.3 g cm⁻³



! NaYMg3, relaxed, DFT PBE; values from VASP
&SYSTEM
  ibrav = 0, nat = 5, ntyp = 3
/
ATOMIC_SPECIES
Y 88.91 Y.upf
Na 22.99 Na.upf
Mg 24.30 Mg.upf
ATOMIC_POSITIONS crystal
Y 0.500 0.500 0.500
Na 0.000 0.000 0.000
Mg 0.000 0.500 0.000
Mg 0.000 0.000 0.500
Mg 0.500 0.000 0.000
CELL_PARAMETERS angstrom
-3.611 -3.649 -0.717
2.651 -3.227 3.070
-2.607 1.772 4.115
! VASP energy   -2.023 eV/atom
! SG   No. 221
! ΔH_f (0 K)   236 kJ/mol of formula units
! Magnetic moment   0.000 μB per formula unit
! ΔE to the lowest computed polymorph   0.00 eV per formula unit
! DOS(E_F)   4.55 states/eV per cell
! ρ   2.2 g cm⁻³



! K2SrCa, relaxed, DFT PBE; values from VASP
&SYSTEM
  ibrav = 0, nat = 4, ntyp = 3
/
ATOMIC_SPECIES
Ca 40.08 Ca.upf
K 39.10 K.upf
Sr 87.62 Sr.upf
ATOMIC_POSITIONS crystal
Ca 0.500 0.500 0.750
K 0.000 0.000 0.990
K 0.000 0.000 0.510
Sr 0.500 0.500 0.250
CELL_PARAMETERS angstrom
4.125 0.000 0.000
0.000 4.125 0.000
0.000 0.000 13.540
! VASP energy   -1.302 eV/atom
! SG   No. 123
! ΔH_f (0 K)   65 kJ/mol of formula units
! Magnetic moment   0.000 μB per formula unit
! DOS(E_F)   4.18 states/eV per cell
! ρ   1.5 g cm⁻³



! Ac2HoIn12Ir3, relaxed, DFT PBE; values from VASP
&SYSTEM
  ibrav = 0, nat = 18, ntyp = 4
/
ATOMIC_SPECIES
Ac 227.00 Ac.upf
Ho 164.93 Ho.upf
In 114.82 In.upf
Ir 192.22 Ir.upf
ATOMIC_POSITIONS crystal
Ac 0.590 0.590 0.590
Ac 0.410 0.410 0.410
Ho 0.000 0.000 0.000
In 0.286 0.286 0.892
In 0.849 0.849 0.400
In 0.400 0.849 0.849
In 0.892 0.286 0.286
In 0.849 0.400 0.849
In 0.286 0.892 0.286
In 0.714 0.714 0.108
In 0.151 0.151 0.600
In 0.600 0.151 0.151
In 0.108 0.714 0.714
In 0.151 0.600 0.151
In 0.714 0.108 0.714
Ir 0.500 0.000 0.000
Ir 0.000 0.500 0.000
Ir 0.000 0.000 0.500
CELL_PARAMETERS angstrom
-7.968 -3.239 -0.949
0.238 -8.644 0.322
-3.013 -2.783 7.619
! VASP energy   -3.985 eV/atom
! SG   No. 166
! ΔH_f (0 K)   50 kJ/mol of formula units
! Magnetic moment   0.000 μB per formula unit
! DOS(E_F)   13.59 states/eV per cell
! ρ   7.7 g cm⁻³



! TiNbSi2Cl, relaxed, DFT PBE; values from VASP
&SYSTEM
  ibrav = 0, nat = 5, ntyp = 4
/
ATOMIC_SPECIES
Nb 92.91 Nb.upf
Cl 35.45 Cl.upf
Si 28.09 Si.upf
Ti 47.87 Ti.upf
ATOMIC_POSITIONS crystal
Nb 0.000 0.000 0.000
Cl 0.000 0.500 0.000
Si 0.000 0.000 0.500
Si 0.500 0.000 0.000
Ti 0.500 0.500 0.500
CELL_PARAMETERS angstrom
-1.082 3.420 3.345
-4.529 -1.034 -0.408
0.443 -3.343 3.561
! VASP energy   -5.445 eV/atom
! SG   No. 123
! Formation energy without anion corrections   0.687 eV per atom
! Magnetic moment   0.001 μB per formula unit
! DOS(E_F)   7.72 states/eV per cell
! ρ   3.4 g cm⁻³